Computed, not measured: crystalline Ta2MnTc at its relaxed geometry at the PBE level of DFT.

```
data_Ta2MnTc
_chemical_formula_sum 'Ta2 Mn1 Tc1'
_space_group_name_H-M_alt 'P 1'
_space_group_IT_number 1
_space_group_name_Hall 'P 1'
_cell_length_a 4.430
_cell_length_b 2.820
_cell_length_c 5.103
_cell_angle_alpha 78.79
_cell_angle_beta 90.00
_cell_angle_gamma 90.00
loop_
_atom_site_label
_atom_site_type_symbol
_atom_site_fract_x
_atom_site_fract_y
_atom_site_fract_z
_atom_site_occupancy
Mn1 Mn 0.500 0.748 0.763 1
Ta1 Ta 0.000 0.986 0.983 1
Ta2 Ta 0.500 0.263 0.263 1
Tc1 Tc 0.000 0.502 0.492 1
```

Computed properties:
ρ = 13.7 Mg/m³
magnetic moment = 0.86 μB per formula unit
ΔE_f = -0.25 eV per formula unit
raw total energy = -43.49 eV per cell